Record 1
MnZnCl3 GGA-PBE relaxed; density of states at the Fermi level = 0.228 states/eV/atom; magnetization = 5.95 μB per formula unit; energy relative to the elements, uncorrected = -0.36 eV/atom; DFT total energy = -3.556 eV/atom
1.0
4.901 0.000 0.000
0.000 4.901 0.000
0.000 0.000 4.901
Zn Mn Cl
1 1 3
Direct
0.000 0.000 0.000 Zn
0.500 0.500 0.500 Mn
0.000 0.500 0.000 Cl
0.000 0.000 0.500 Cl
0.500 0.000 0.000 Cl

***

Record 2
ScZnIn GGA-PBE relaxed; density of states at the Fermi level = 0.714 states/eV/atom; magnetization = 0.00 μB per formula unit; formation enthalpy at 0 K = -0.264 eV/atom; DFT total energy = -3.712 eV/atom
1.0
-3.625 1.832 -4.629
-2.484 -3.597 0.522
-5.233 4.466 5.866
Sc Zn In
4 4 4
Direct
0.365 0.250 0.407 Sc
0.135 0.750 0.907 Sc
0.635 0.750 0.593 Sc
0.865 0.250 0.093 Sc
0.900 0.250 0.756 Zn
0.600 0.750 0.256 Zn
0.100 0.750 0.244 Zn
0.400 0.250 0.744 Zn
0.863 0.250 0.420 In
0.637 0.750 0.920 In
0.137 0.750 0.580 In
0.363 0.250 0.080 In

***

Record 3
LaTi2Au GGA-PBE relaxed; density of states at the Fermi level = 1.028 states/eV/atom; magnetization = 0.00 μB per formula unit; formation enthalpy at 0 K = 0.184 eV/atom; DFT total energy = -5.815 eV/atom
1.0
-3.642 -1.638 -1.211
0.248 -2.819 3.067
-6.722 4.245 7.286
Ti Au La
4 2 2
Direct
0.644 0.125 0.250 Ti
0.106 0.625 0.250 Ti
0.375 0.356 0.750 Ti
0.875 0.894 0.750 Ti
0.000 0.000 0.000 Au
0.750 0.250 0.500 Au
0.500 0.500 0.000 La
0.250 0.750 0.500 La

***

Record 4
U5SiS4 GGA-PBE relaxed; density of states at the Fermi level = 2.214 states/eV/atom; magnetization = 10.70 μB per formula unit; energy relative to the elements, uncorrected = -1.11 eV/atom; DFT total energy = -8.946 eV/atom
1.0
-4.358 4.358 2.758
4.358 -4.358 2.758
4.358 4.358 -2.758
U Si S
5 1 4
Direct
0.400 0.806 0.206 U
0.000 0.000 0.000 U
0.600 0.194 0.794 U
0.194 0.400 0.594 U
0.806 0.600 0.406 U
0.500 0.500 0.000 Si
0.104 0.702 0.806 S
0.702 0.896 0.598 S
0.298 0.104 0.402 S
0.896 0.298 0.194 S

***

Record 5
CaScCdHg GGA-PBE relaxed; density of states at the Fermi level = 0.565 states/eV/atom; magnetization = 0.00 μB per formula unit; formation enthalpy at 0 K = -0.401 eV/atom; DFT total energy = -2.788 eV/atom
1.0
3.655 0.000 0.000
0.000 3.655 0.000
0.000 0.000 7.354
Ca Sc Cd Hg
1 1 1 1
Direct
0.000 0.000 0.861 Ca
0.000 0.000 0.352 Sc
0.500 0.500 0.579 Cd
0.500 0.500 0.136 Hg

***

Record 6
Cs4KCr3Cl12 GGA-PBE relaxed; density of states at the Fermi level = 0.123 states/eV/atom; magnetization = 11.00 μB per formula unit; energy relative to the elements, uncorrected = -1.53 eV/atom; DFT total energy = -4.308 eV/atom
1.0
9.068 0.000 0.000
-3.023 8.549 0.000
-3.023 -4.275 7.404
Cs K Cr Cl
4 1 3 12
Direct
0.500 0.500 0.500 Cs
0.000 0.000 0.500 Cs
0.500 0.000 0.000 Cs
0.000 0.500 0.000 Cs
0.000 0.000 0.000 K
0.500 0.000 0.500 Cr
0.500 0.500 0.000 Cr
0.000 0.500 0.500 Cr
0.250 0.500 0.750 Cl
0.721 0.000 0.721 Cl
0.279 0.000 0.279 Cl
0.750 0.500 0.250 Cl
0.721 0.721 0.000 Cl
0.279 0.279 0.000 Cl
0.750 0.250 0.500 Cl
0.250 0.750 0.500 Cl
0.500 0.250 0.750 Cl
0.000 0.721 0.721 Cl
0.500 0.750 0.250 Cl
0.000 0.279 0.279 Cl

***

Record 7
AlCuW GGA-PBE relaxed; density of states at the Fermi level = 1.174 states/eV/atom; magnetization = 0.00 μB per formula unit; formation enthalpy at 0 K = 0.621 eV/atom; DFT total energy = -6.309 eV/atom
1.0
-0.329 2.654 3.083
-2.755 -0.626 2.946
1.224 -1.062 3.746
Cu W Al
1 1 1
Direct
0.750 0.750 0.750 Cu
0.000 0.000 0.000 W
0.500 0.500 0.500 Al

***

Record 8
KZr3Bi GGA-PBE relaxed; density of states at the Fermi level = 1.163 states/eV/atom; magnetization = 2.08 μB per formula unit; formation enthalpy at 0 K = 1.723 eV/atom; DFT total energy = -4.401 eV/atom
1.0
-1.376 -1.137 4.720
4.821 0.260 1.468
-0.573 4.909 1.015
K Bi Zr
1 1 3
Direct
0.000 0.000 0.000 K
0.500 0.500 0.500 Bi
0.000 0.500 0.000 Zr
0.000 0.000 0.500 Zr
0.500 0.000 0.000 Zr

***

Record 9
Tl2ZnPd2 GGA-PBE relaxed; density of states at the Fermi level = 0.434 states/eV/atom; magnetization = 0.00 μB per formula unit; formation enthalpy at 0 K = 0.234 eV/atom; DFT total energy = -3.044 eV/atom
1.0
4.213 0.000 0.000
0.000 4.213 0.000
2.106 2.106 6.406
Tl Zn Pd
2 1 2
Direct
0.750 0.250 0.500 Tl
0.250 0.750 0.500 Tl
0.000 0.000 0.000 Zn
0.399 0.399 0.203 Pd
0.601 0.601 0.797 Pd

***

Record 10
ZrSc4Sn2 GGA-PBE relaxed; density of states at the Fermi level = 1.108 states/eV/atom; magnetization = 0.00 μB per formula unit; formation enthalpy at 0 K = 0.285 eV/atom; DFT total energy = -5.698 eV/atom
1.0
4.834 0.000 0.000
0.000 4.834 0.000
-2.417 -2.417 7.903
Zr Sc Sn
1 4 2
Direct
0.000 0.000 0.000 Zr
0.818 0.818 0.636 Sc
0.182 0.182 0.364 Sc
0.000 0.500 0.000 Sc
0.500 0.000 0.000 Sc
0.633 0.633 0.266 Sn
0.367 0.367 0.734 Sn

***

Record 11
RbNbTl GGA-PBE relaxed; density of states at the Fermi level = 0.602 states/eV/atom; magnetization = 0.00 μB per formula unit; formation enthalpy at 0 K = 0.369 eV/atom; DFT total energy = -4.098 eV/atom
1.0
3.429 0.000 0.001
0.000 4.835 -0.003
-1.628 -2.394 13.072
Nb Tl Rb
2 2 2
Direct
0.286 0.537 0.576 Nb
0.714 0.463 0.424 Nb
0.805 0.057 0.616 Tl
0.195 0.943 0.384 Tl
0.409 0.668 0.840 Rb
0.591 0.332 0.160 Rb

***

Record 12
CdAg2Br GGA-PBE relaxed; density of states at the Fermi level = 0.263 states/eV/atom; magnetization = 0.00 μB per formula unit; energy relative to the elements, uncorrected = -0.07 eV/atom; DFT total energy = -2.140 eV/atom
1.0
-2.978 -2.176 -0.741
0.678 -1.970 3.063
-4.036 4.294 3.613
Br Ag Cd
1 2 1
Direct
0.500 0.250 0.250 Br
0.000 0.252 0.946 Ag
0.000 0.248 0.554 Ag
0.500 0.750 0.750 Cd